No. 1
PBE-GGA CrHg2, optimized geometry; formation enthalpy at 0 K = 0.386 eV/atom
1.0
3.192 0.000 0.000
0.000 3.192 0.000
1.596 1.596 6.020
Cr Hg
1 2
Cartesian
0.000 0.000 0.000 Cr
1.596 1.596 1.844 Hg
3.192 3.192 4.175 Hg

=====

No. 2
PBE-GGA Rb2IO2F4, optimized geometry; formation energy from raw total energies = -38.173 kcal/mol of atoms
1.0
-4.362 1.328 -2.129
-2.684 0.623 5.562
0.109 5.499 2.878
Rb I O F
2 1 2 4
Cartesian
-2.598 4.376 5.245 Rb
-4.340 3.074 1.067 Rb
-2.181 0.664 -1.064 I
-1.693 1.312 0.622 O
-5.245 6.138 5.690 O
-3.001 1.728 3.718 F
-5.368 3.223 3.969 F
-3.937 5.722 2.594 F
-1.569 4.227 2.342 F

=====

No. 3
PBE-GGA ZrTlSi2, optimized geometry; formation energy from raw total energies = -0.264 kcal/mol of atoms
1.0
5.044 0.000 -0.031
3.796 3.322 -0.031
1.282 0.482 5.243
Si Tl Zr
2 1 1
Cartesian
1.295 0.487 4.641 Si
5.048 1.897 3.192 Si
2.531 0.951 1.295 Tl
7.592 2.853 3.885 Zr

=====

No. 4
PBE-GGA ScMn, optimized geometry; formation enthalpy at 0 K = 0.119 eV/atom
1.0
4.908 -0.018 0.006
-3.595 5.112 -0.011
0.000 0.863 2.830
Mn Sc
2 2
Cartesian
-0.175 1.126 2.750 Mn
-1.214 2.507 0.783 Mn
-1.307 5.314 1.474 Sc
1.231 3.413 2.053 Sc

=====

No. 5
PBE-GGA ZrP2Rh, optimized geometry; formation enthalpy at 0 K = -0.310 eV/atom
1.0
-0.210 0.706 -7.833
0.098 -2.370 -7.502
-2.715 -1.059 -7.308
P Rh Zr
2 1 1
Cartesian
-2.799 -2.696 -22.416 P
-0.706 -0.680 -5.655 P
-1.456 -1.402 -11.660 Rh
-2.108 -2.030 -16.879 Zr

=====

No. 6
PBE-GGA Hf2Be9Ru, optimized geometry; formation enthalpy at 0 K = -0.130 eV/atom
1.0
-2.367 -1.960 -3.341
1.873 -0.529 -4.101
2.353 -7.240 -0.504
Hf Be Ru
2 9 1
Cartesian
0.566 -5.186 -6.610 Hf
1.294 -4.542 -1.336 Hf
-0.322 -1.676 -4.956 Be
2.182 -8.052 -2.989 Be
0.930 -4.864 -3.973 Be
0.337 -2.734 -3.267 Be
-0.842 -3.710 -4.931 Be
1.270 -2.997 -5.309 Be
1.522 -6.994 -4.679 Be
0.589 -6.731 -2.636 Be
2.701 -6.018 -3.015 Be
0.000 0.000 0.000 Ru

=====

No. 7
PBE-GGA La2ReBr, optimized geometry; formation energy from raw total energies = -8.334 kcal/mol of atoms
1.0
-3.381 -7.802 -1.541
1.902 -8.273 -1.614
0.916 7.512 4.171
Re Br La
1 1 2
Cartesian
-0.826 -8.977 -1.762 Re
0.966 -5.196 0.333 Br
-1.431 -15.559 -3.054 La
-1.490 -2.943 0.766 La

=====

No. 8
PBE-GGA SrLaRe2, optimized geometry; formation enthalpy at 0 K = 0.225 eV/atom
1.0
4.196 -0.441 0.137
2.478 3.414 0.137
1.914 0.853 8.336
La Re Sr
1 2 1
Cartesian
2.191 0.976 1.211 La
1.944 0.866 7.580 Re
6.408 2.855 7.336 Re
4.255 1.896 5.125 Sr

=====

No. 9
PBE-GGA Dy4PaS5, optimized geometry; formation energy from raw total energies = -44.165 kcal/mol of atoms
1.0
3.800 0.000 -0.733
-0.284 5.306 -1.473
0.036 0.024 10.401
Dy Pa S
4 1 5
Cartesian
1.440 2.150 7.466 Dy
2.848 4.280 4.549 Dy
0.703 1.050 3.646 Dy
2.111 3.180 0.728 Dy
0.000 0.000 0.000 Pa
2.259 0.536 1.496 S
2.971 1.599 5.186 S
0.580 3.731 3.008 S
-0.142 2.653 -0.736 S
1.292 4.794 6.698 S

=====

No. 10
PBE-GGA Mg2FeAs, optimized geometry; formation enthalpy at 0 K = 0.201 eV/atom
1.0
-0.446 -0.440 4.534
3.706 -0.618 2.614
1.427 3.348 2.775
As Fe Mg
1 1 2
Cartesian
2.343 1.145 4.962 As
3.515 1.718 7.443 Fe
0.000 0.000 0.000 Mg
1.172 0.573 2.481 Mg

=====

No. 11
PBE-GGA Pm2NdIr2Pt, optimized geometry; formation enthalpy at 0 K = -0.301 eV/atom
1.0
-3.343 2.474 3.827
0.147 -4.685 3.157
5.835 2.935 -0.974
Pm Nd Ir Pt
2 1 2 1
Cartesian
2.192 -1.428 2.837 Pm
0.447 2.152 3.172 Pm
-1.598 -1.106 3.492 Nd
0.567 -0.171 4.778 Ir
2.072 0.895 1.231 Ir
0.000 0.000 0.000 Pt

=====

No. 12
PBE-GGA Na3Ag, optimized geometry; formation enthalpy at 0 K = 0.012 eV/atom
1.0
5.418 0.000 0.000
0.000 6.850 0.001
0.000 3.425 5.931
Na Ag
6 2
Cartesian
4.064 5.047 1.042 Na
4.064 1.803 1.041 Na
4.064 3.426 3.849 Na
1.355 5.228 4.890 Na
1.355 8.472 4.891 Na
1.355 6.849 2.083 Na
1.355 3.425 1.977 Ag
4.064 6.850 3.955 Ag

=====

Record-wise DOS(E_F) values, in states/eV per cell: 1.54, 1.06, 2.47, 3.94, 2.77, 4.98, 2.15, 4.04, 6.22, 4.21, 2.89, 3.33
Record-wise final energy values, in Ry/atom: -0.2222, -0.2922, -0.4007, -0.5609, -0.5138, -0.3937, -0.4671, -0.5624, -0.4975, -0.2848, -0.4880, -0.1242